Density functional theory data (PBE) for a relaxed structure of Si2TeBr.

It has space group C2/m (No. 12), with a = 11.088 Å, b = 3.731 Å, c = 7.429 Å, α = 90.00°, β = 130.23° and γ = 90.00°. The asymmetric unit holds Si at (0.159, 0.000, 0.443), Te at (0.000, 0.500, 0.500) and Br at (0.000, 0.000, 0.000).

The value obtained for the distance to the lowest polymorph of the same formula is 212.3 meV/atom. As for the density of states at the Fermi level: 0.311 states/eV per atom. The calculation puts the size of the total moment at 0.000 μB/cell.

Density functional theory data (PBE) for a relaxed structure of SiTe3Br.

It has space group Pc (No. 7), with a = 5.546 Å, b = 7.682 Å, c = 9.678 Å, α = 90.00°, β = 124.88° and γ = 90.00°. The asymmetric unit holds Si at (0.000, 0.009, 0.000), Te at (0.011, 0.195, 0.258), Te at (0.497, 0.195, 0.743), Te at (0.617, 0.255, 0.500) and Br at (0.300, 0.249, 0.000).

The value obtained for the distance to the lowest polymorph of the same formula is 0.0 meV/atom. As for the density of states at the Fermi level: 0.443 states/eV per atom. The calculation puts the size of the total moment at 0.000 μB/cell.

Density functional theory data (PBE) for a relaxed structure of SiTe2Br.

It has space group P4mm (No. 99), with a = 3.988 Å, b = 3.988 Å, c = 8.346 Å, α = 90.00°, β = 90.00° and γ = 90.00°. The asymmetric unit holds Si at (0.000, 0.000, 0.000), Te at (0.000, 0.000, 0.300), Te at (0.500, 0.500, 0.978) and Br at (0.500, 0.500, 0.669).

The value obtained for the distance to the lowest polymorph of the same formula is 176.3 meV/atom. As for the density of states at the Fermi level: 0.647 states/eV per atom. The calculation puts the size of the total moment at 0.000 μB/cell.

Density functional theory data (PBE) for a relaxed structure of SiTeBr.

It has space group Fmm2 (No. 42), with a = 3.619 Å, b = 9.149 Å, c = 14.224 Å, α = 90.00°, β = 90.00° and γ = 90.00°. The asymmetric unit holds Si at (0.000, 0.000, 0.000), Te at (0.000, 0.000, 0.373) and Br at (0.000, 0.000, 0.643).

The value obtained for the distance to the lowest polymorph of the same formula is 424.7 meV/atom. As for the density of states at the Fermi level: 0.183 states/eV per atom. The calculation puts the size of the total moment at 0.000 μB/cell.

Short version: ΔE_f (raw) = 0.15, 0.00, 0.16, 0.19 eV per atom, in the order given.